Entry 1:
A relaxed Sr2CaTl crystal. Source: the Alexandria database, functional PBE.

## Properties
Distance to the lowest polymorph of the same formula: 0.085 eV per atom
Density: 4.25 g/cm3
E_tot: -2.08 eV per atom
Magnetization: 1.0 μB/f.u.
Energy relative to the elements: -0.1476 eV/atom

Unit cell a=7.336 b=7.336 c=7.336 alpha=146.15 beta=131.20 gamma=60.72
Atoms (fractional coordinates):
Sr (0.209, 0.209, 0.000)
Sr (0.791, 0.791, 0.000)
Ca (0.500, 0.000, 0.500)
Tl (0.000, 0.500, 0.500)

Entry 2:
A relaxed La4NdY crystal. Source: the Alexandria database, functional PBE.

## Properties
Distance to the lowest polymorph of the same formula: 0.000 eV per atom
Density: 6.11 g/cm3
E_tot: -5.14 eV per atom
Magnetization: 0.0 μB/f.u.
Energy relative to the elements: 0.0161 eV/atom

Unit cell a=3.686 b=5.260 c=11.051 alpha=90.00 beta=90.00 gamma=90.00
Atoms (fractional coordinates):
La (0.000, 0.000, 0.169)
La (0.000, 0.000, 0.831)
La (0.500, 0.500, 0.328)
La (0.500, 0.500, 0.672)
Nd (0.000, 0.000, 0.500)
Y (0.500, 0.500, 0.000)

Entry 3:
A relaxed NpFeGe crystal. Source: the Alexandria database, functional PBE.

## Properties
Density: 10.78 g/cm3
E_tot: -8.70 eV per atom
Magnetization: 1.3 μB/f.u.
Energy relative to the elements: -0.0313 eV/atom

Unit cell a=4.302 b=4.302 c=4.302 alpha=60.00 beta=60.00 gamma=60.00
Atoms (fractional coordinates):
Np (0.000, 0.000, 0.000)
Fe (0.250, 0.250, 0.250)
Ge (0.500, 0.500, 0.500)